Entry 1:
A plane-wave DFT calculation with PBE was carried out for crystalline K2BaLiH at its relaxed geometry.

For the spin magnetization, the calculation gives 0.000 μB/f.u. Its total energy is -1.86 eV per atom.

The space group is P4/mmm (No. 123) and the conventional cell measures 5.923, 5.923 and 5.650 Å, with angles of 90.00, 90.00 and 90.00 degrees. The asymmetric unit holds K at (0.000, 0.500, 0.000), Ba at (0.000, 0.000, 0.500), Li at (0.500, 0.500, 0.500) and H at (0.000, 0.000, 0.000).

***

Entry 2:
A plane-wave DFT calculation with PBE was carried out for crystalline KBa2LiH at its relaxed geometry.

For the spin magnetization, the calculation gives 0.000 μB/f.u. Its total energy is -2.07 eV per atom.

The space group is P4/mmm (No. 123) and the conventional cell measures 5.818, 5.818 and 5.870 Å, with angles of 90.00, 90.00 and 90.00 degrees. The asymmetric unit holds K at (0.000, 0.000, 0.000), Ba at (0.000, 0.500, 0.500), Li at (0.500, 0.500, 0.000) and H at (0.000, 0.000, 0.500).